# 1
# GGA-PBE K3BiCl6, optimized geometry
# DFT total energy: -3.443 eV/atom
# ΔE_f (raw): -16.17 eV/f.u.
data_K3BiCl6
_cell_length_a 7.5768
_cell_length_b 8.0596
_cell_length_c 13.1909
_cell_angle_alpha 90.00
_cell_angle_beta 124.07
_cell_angle_gamma 90.00
_space_group_name_H-M_alt 'P 1 21/c 1'
_space_group_IT_number 14
loop_
_space_group_symop_operation_xyz
'x,y,z'
'-x,-y,-z'
'-x,y+1/2,-z+1/2'
'x,-y+1/2,z+1/2'
loop_
_atom_site_label
_atom_site_type_symbol
_atom_site_fract_x
_atom_site_fract_y
_atom_site_fract_z
K1 K 0.0000 0.0000 0.0000
K2 K 0.2152 0.0739 0.7430
Bi1 Bi 0.5000 0.0000 0.5000
Cl1 Cl 0.1498 0.1807 0.4409
Cl2 Cl 0.2510 0.7194 0.4215
Cl3 Cl 0.4018 0.0606 0.2692

# 2
# GGA-PBE KBiCl3, optimized geometry
# DFT total energy: -2.492 eV/atom
# ΔE to the lowest computed polymorph: 775 meV per atom
# ΔE_f (raw): -1.94 eV/f.u.
data_KBiCl3
_cell_length_a 5.5238
_cell_length_b 5.5238
_cell_length_c 5.5238
_cell_angle_alpha 90.00
_cell_angle_beta 90.00
_cell_angle_gamma 90.00
_space_group_name_H-M_alt 'P m -3 m'
_space_group_IT_number 221
_space_group_name_Hall '-P 4 2 3'
loop_
_atom_site_label
_atom_site_type_symbol
_atom_site_fract_x
_atom_site_fract_y
_atom_site_fract_z
K1 K 0.0000 0.0000 0.0000
Bi1 Bi 0.5000 0.5000 0.5000
Cl1 Cl 0.0000 0.0000 0.5000

# 3
# GGA-PBE K2LiBiCl6, optimized geometry
# DFT total energy: -3.474 eV/atom
# ΔE to the lowest computed polymorph: 0 meV per atom
# ΔE_f (raw): -15.67 eV/f.u.
data_K2LiBiCl6
_cell_length_a 7.2796
_cell_length_b 7.5389
_cell_length_c 12.5927
_cell_angle_alpha 90.00
_cell_angle_beta 124.98
_cell_angle_gamma 90.00
_space_group_name_H-M_alt 'P 1 21/c 1'
_space_group_IT_number 14
loop_
_space_group_symop_operation_xyz
'x,y,z'
'-x,-y,-z'
'-x,y+1/2,-z+1/2'
'x,-y+1/2,z+1/2'
loop_
_atom_site_label
_atom_site_type_symbol
_atom_site_fract_x
_atom_site_fract_y
_atom_site_fract_z
K1 K 0.2305 0.0646 0.2487
Li1 Li 0.0000 0.0000 0.5000
Bi1 Bi 0.5000 0.0000 0.0000
Cl1 Cl 0.1506 0.2061 0.9524
Cl2 Cl 0.2508 0.7012 0.9546
Cl3 Cl 0.3339 0.0218 0.7432

# 4
# GGA-PBE K2LiBiCl6, optimized geometry
# DFT total energy: -3.441 eV/atom
# ΔE to the lowest computed polymorph: 33 meV per atom
# ΔE_f (raw): -15.34 eV/f.u.
data_K2LiBiCl6
_cell_length_a 10.5429
_cell_length_b 10.5429
_cell_length_c 10.5429
_cell_angle_alpha 90.00
_cell_angle_beta 90.00
_cell_angle_gamma 90.00
_space_group_name_H-M_alt 'F m -3 m'
_space_group_IT_number 225
_space_group_name_Hall '-F 4 2 3'
loop_
_atom_site_label
_atom_site_type_symbol
_atom_site_fract_x
_atom_site_fract_y
_atom_site_fract_z
K1 K 0.2500 0.2500 0.2500
Li1 Li 0.0000 0.0000 0.0000
Bi1 Bi 0.0000 0.0000 0.5000
Cl1 Cl 0.0000 0.0000 0.2434

# 5
# GGA-PBE KMnBiCl6, optimized geometry
# DFT total energy: -4.076 eV/atom
# ΔE_f (raw): -11.46 eV/f.u.
data_KMnBiCl6
_cell_length_a 6.9145
_cell_length_b 6.9145
_cell_length_c 13.7355
_cell_angle_alpha 90.00
_cell_angle_beta 90.00
_cell_angle_gamma 120.00
_space_group_name_H-M_alt 'P -3 1 c'
_space_group_IT_number 163
_space_group_name_Hall '-P 3 2c'
loop_
_atom_site_label
_atom_site_type_symbol
_atom_site_fract_x
_atom_site_fract_y
_atom_site_fract_z
K1 K 0.0000 0.0000 0.0000
Mn1 Mn 0.3333 0.6667 0.2500
Bi1 Bi 0.3333 0.6667 0.7500
Cl1 Cl 0.0203 0.3817 0.1413

# 6
# GGA-PBE K2BiMoCl, optimized geometry
# DFT total energy: -2.991 eV/atom
# ΔE_f (raw): 3.80 eV/f.u.
data_K2BiMoCl
_cell_length_a 6.9579
_cell_length_b 6.9579
_cell_length_c 5.5860
_cell_angle_alpha 90.00
_cell_angle_beta 90.00
_cell_angle_gamma 90.00
_space_group_name_H-M_alt 'P 4/m m m'
_space_group_IT_number 123
_space_group_name_Hall '-P 4 2'
loop_
_atom_site_label
_atom_site_type_symbol
_atom_site_fract_x
_atom_site_fract_y
_atom_site_fract_z
K1 K 0.0000 0.5000 0.0000
Bi1 Bi 0.0000 0.0000 0.0000
Mo1 Mo 0.5000 0.5000 0.5000
Cl1 Cl 0.0000 0.0000 0.5000

# 7
# GGA-PBE KNaBiCl6, optimized geometry
# DFT total energy: -3.173 eV/atom
# ΔE_f (raw): -11.18 eV/f.u.
data_KNaBiCl6
_cell_length_a 7.1442
_cell_length_b 7.1442
_cell_length_c 6.8278
_cell_angle_alpha 90.00
_cell_angle_beta 90.00
_cell_angle_gamma 120.00
_space_group_name_H-M_alt 'P 3 1 2'
_space_group_IT_number 149
loop_
_space_group_symop_operation_xyz
'x,y,z'
'-y,x-y,z'
'-x+y,-x,z'
'-y,-x,-z'
'-x+y,y,-z'
'x,x-y,-z'
loop_
_atom_site_label
_atom_site_type_symbol
_atom_site_fract_x
_atom_site_fract_y
_atom_site_fract_z
K1 K 0.0000 0.0000 0.0000
Na1 Na 0.6667 0.3333 0.5000
Bi1 Bi 0.3333 0.6667 0.5000
Cl1 Cl 0.0198 0.3766 0.7229

# 8
# GGA-PBE KNa2BiCl6, optimized geometry
# DFT total energy: -3.402 eV/atom
# ΔE_f (raw): -15.32 eV/f.u.
data_KNa2BiCl6
_cell_length_a 7.2864
_cell_length_b 7.2864
_cell_length_c 19.6610
_cell_angle_alpha 90.00
_cell_angle_beta 90.00
_cell_angle_gamma 120.00
_space_group_name_H-M_alt 'R 3'
_space_group_IT_number 146
_space_group_name_Hall 'R 3'
loop_
_atom_site_label
_atom_site_type_symbol
_atom_site_fract_x
_atom_site_fract_y
_atom_site_fract_z
K1 K 0.0000 0.0000 0.0000
Na1 Na 0.0000 0.0000 0.2846
Na2 Na 0.0000 0.0000 0.7994
Bi1 Bi 0.0000 0.0000 0.4829
Cl1 Cl 0.0144 0.3399 0.5521
Cl2 Cl 0.0295 0.6227 0.0602

# 9
# GGA-PBE K2NaBiCl, optimized geometry
# DFT total energy: -2.653 eV/atom
# ΔE_f (raw): -4.02 eV/f.u.
data_K2NaBiCl
_cell_length_a 6.0125
_cell_length_b 6.0125
_cell_length_c 5.2384
_cell_angle_alpha 90.00
_cell_angle_beta 90.00
_cell_angle_gamma 90.00
_space_group_name_H-M_alt 'P 4/m m m'
_space_group_IT_number 123
_space_group_name_Hall '-P 4 2'
loop_
_atom_site_label
_atom_site_type_symbol
_atom_site_fract_x
_atom_site_fract_y
_atom_site_fract_z
K1 K 0.0000 0.5000 0.0000
Na1 Na 0.0000 0.0000 0.5000
Bi1 Bi 0.5000 0.5000 0.5000
Cl1 Cl 0.0000 0.0000 0.0000

# 10
# GGA-PBE K2BiClO2, optimized geometry
# DFT total energy: -4.334 eV/atom
# ΔE_f (raw): -8.16 eV/f.u.
data_K2BiClO2
_cell_length_a 4.5623
_cell_length_b 4.5623
_cell_length_c 6.7553
_cell_angle_alpha 90.00
_cell_angle_beta 90.00
_cell_angle_gamma 90.00
_space_group_name_H-M_alt 'P 4/m m m'
_space_group_IT_number 123
_space_group_name_Hall '-P 4 2'
loop_
_atom_site_label
_atom_site_type_symbol
_atom_site_fract_x
_atom_site_fract_y
_atom_site_fract_z
K1 K 0.0000 0.0000 0.2476
Bi1 Bi 0.5000 0.5000 0.0000
Cl1 Cl 0.5000 0.5000 0.5000
O1 O 0.0000 0.5000 0.0000

# 11
# GGA-PBE K3Bi2Cl2O4, optimized geometry
# DFT total energy: -4.479 eV/atom
# ΔE_f (raw): -14.69 eV/f.u.
data_K3Bi2Cl2O4
_cell_length_a 4.4847
_cell_length_b 4.4847
_cell_length_c 24.1146
_cell_angle_alpha 90.00
_cell_angle_beta 90.00
_cell_angle_gamma 90.00
_space_group_name_H-M_alt 'I 4/m m m'
_space_group_IT_number 139
_space_group_name_Hall '-I 4 2'
loop_
_atom_site_label
_atom_site_type_symbol
_atom_site_fract_x
_atom_site_fract_y
_atom_site_fract_z
K1 K 0.0000 0.0000 0.0000
K2 K 0.0000 0.0000 0.1621
Bi1 Bi 0.0000 0.0000 0.4162
Cl1 Cl 0.0000 0.0000 0.3043
O1 O 0.0000 0.5000 0.0802

# 12
# GGA-PBE KBiPCl2, optimized geometry
# DFT total energy: -2.527 eV/atom
# ΔE to the lowest computed polymorph: 825 meV per atom
# ΔE_f (raw): 1.45 eV/f.u.
data_KBiPCl2
_cell_length_a 5.4165
_cell_length_b 5.4165
_cell_length_c 5.9567
_cell_angle_alpha 90.00
_cell_angle_beta 90.00
_cell_angle_gamma 90.00
_space_group_name_H-M_alt 'P 4/m m m'
_space_group_IT_number 123
_space_group_name_Hall '-P 4 2'
loop_
_atom_site_label
_atom_site_type_symbol
_atom_site_fract_x
_atom_site_fract_y
_atom_site_fract_z
K1 K 0.0000 0.0000 0.0000
Bi1 Bi 0.5000 0.5000 0.5000
P1 P 0.0000 0.0000 0.5000
Cl1 Cl 0.0000 0.5000 0.0000

# 13
# GGA-PBE KBiPCl2, optimized geometry
# DFT total energy: -3.352 eV/atom
# ΔE to the lowest computed polymorph: 0 meV per atom
# ΔE_f (raw): -2.68 eV/f.u.
data_KBiPCl2
_cell_length_a 5.6539
_cell_length_b 5.6539
_cell_length_c 5.3576
_cell_angle_alpha 90.00
_cell_angle_beta 90.00
_cell_angle_gamma 90.00
_space_group_name_H-M_alt 'P 4/m m m'
_space_group_IT_number 123
_space_group_name_Hall '-P 4 2'
loop_
_atom_site_label
_atom_site_type_symbol
_atom_site_fract_x
_atom_site_fract_y
_atom_site_fract_z
K1 K 0.0000 0.0000 0.0000
Bi1 Bi 0.5000 0.5000 0.5000
P1 P 0.5000 0.5000 0.0000
Cl1 Cl 0.0000 0.5000 0.5000

# 14
# GGA-PBE KBiPb2Cl8, optimized geometry
# DFT total energy: -3.504 eV/atom
# ΔE_f (raw): -14.89 eV/f.u.
data_KBiPb2Cl8
_cell_length_a 6.6431
_cell_length_b 8.9182
_cell_length_c 6.8823
_cell_angle_alpha 90.00
_cell_angle_beta 90.72
_cell_angle_gamma 90.00
_space_group_name_H-M_alt 'P 1 2/m 1'
_space_group_IT_number 10
loop_
_space_group_symop_operation_xyz
'x,y,z'
'-x,-y,-z'
'-x,y,-z'
'x,-y,z'
loop_
_atom_site_label
_atom_site_type_symbol
_atom_site_fract_x
_atom_site_fract_y
_atom_site_fract_z
K1 K 0.0000 0.0000 0.0000
Bi1 Bi 0.0000 0.5000 0.0000
Pb1 Pb 0.5000 0.2474 0.5000
Cl1 Cl 0.2325 0.2782 0.1611
Cl2 Cl 0.2477 0.5000 0.6806
Cl3 Cl 0.2798 0.0000 0.6423

# 15
# GGA-PBE K2BiPbCl8, optimized geometry
# DFT total energy: -3.281 eV/atom
# ΔE_f (raw): -14.81 eV/f.u.
data_K2BiPbCl8
_cell_length_a 6.8520
_cell_length_b 8.6354
_cell_length_c 7.0740
_cell_angle_alpha 90.00
_cell_angle_beta 93.37
_cell_angle_gamma 90.00
_space_group_name_H-M_alt 'P 1 2/m 1'
_space_group_IT_number 10
loop_
_space_group_symop_operation_xyz
'x,y,z'
'-x,-y,-z'
'-x,y,-z'
'x,-y,z'
loop_
_atom_site_label
_atom_site_type_symbol
_atom_site_fract_x
_atom_site_fract_y
_atom_site_fract_z
K1 K 0.0000 0.2471 0.0000
Bi1 Bi 0.5000 0.0000 0.5000
Pb1 Pb 0.5000 0.5000 0.5000
Cl1 Cl 0.2726 0.0000 0.1790
Cl2 Cl 0.2769 0.5000 0.1789
Cl3 Cl 0.2820 0.2462 0.6341

# 16
# GGA-PBE KBiPbCl2, optimized geometry
# DFT total energy: -2.608 eV/atom
# ΔE_f (raw): -0.66 eV/f.u.
data_KBiPbCl2
_cell_length_a 5.3890
_cell_length_b 5.3890
_cell_length_c 6.4767
_cell_angle_alpha 90.00
_cell_angle_beta 90.00
_cell_angle_gamma 90.00
_space_group_name_H-M_alt 'P 4/m m m'
_space_group_IT_number 123
_space_group_name_Hall '-P 4 2'
loop_
_atom_site_label
_atom_site_type_symbol
_atom_site_fract_x
_atom_site_fract_y
_atom_site_fract_z
K1 K 0.0000 0.0000 0.0000
Bi1 Bi 0.5000 0.5000 0.5000
Pb1 Pb 0.0000 0.0000 0.5000
Cl1 Cl 0.0000 0.5000 0.0000

# 17
# GGA-PBE KBiPd2Cl, optimized geometry
# DFT total energy: -3.353 eV/atom
# ΔE_f (raw): 0.45 eV/f.u.
data_KBiPd2Cl
_cell_length_a 4.8151
_cell_length_b 4.8151
_cell_length_c 5.3814
_cell_angle_alpha 90.00
_cell_angle_beta 90.00
_cell_angle_gamma 90.00
_space_group_name_H-M_alt 'P 4/m m m'
_space_group_IT_number 123
_space_group_name_Hall '-P 4 2'
loop_
_atom_site_label
_atom_site_type_symbol
_atom_site_fract_x
_atom_site_fract_y
_atom_site_fract_z
K1 K 0.0000 0.0000 0.0000
Bi1 Bi 0.5000 0.5000 0.0000
Pd1 Pd 0.0000 0.5000 0.5000
Cl1 Cl 0.0000 0.0000 0.5000

# 18
# GGA-PBE KBiPdCl6, optimized geometry
# DFT total energy: -3.355 eV/atom
# ΔE_f (raw): -8.94 eV/f.u.
data_KBiPdCl6
_cell_length_a 6.8790
_cell_length_b 6.8790
_cell_length_c 6.9589
_cell_angle_alpha 90.00
_cell_angle_beta 90.00
_cell_angle_gamma 120.00
_space_group_name_H-M_alt 'P 3 1 2'
_space_group_IT_number 149
loop_
_space_group_symop_operation_xyz
'x,y,z'
'-y,x-y,z'
'-x+y,-x,z'
'-y,-x,-z'
'-x+y,y,-z'
'x,x-y,-z'
loop_
_atom_site_label
_atom_site_type_symbol
_atom_site_fract_x
_atom_site_fract_y
_atom_site_fract_z
K1 K 0.0000 0.0000 0.0000
Bi1 Bi 0.6667 0.3333 0.5000
Pd1 Pd 0.3333 0.6667 0.5000
Cl1 Cl 0.0207 0.3779 0.2848

# 19
# GGA-PBE KBi2PtCl, optimized geometry
# DFT total energy: -2.254 eV/atom
# ΔE_f (raw): 5.48 eV/f.u.
data_KBi2PtCl
_cell_length_a 5.9632
_cell_length_b 5.9632
_cell_length_c 5.0797
_cell_angle_alpha 90.00
_cell_angle_beta 90.00
_cell_angle_gamma 90.00
_space_group_name_H-M_alt 'P 4/m m m'
_space_group_IT_number 123
_space_group_name_Hall '-P 4 2'
loop_
_atom_site_label
_atom_site_type_symbol
_atom_site_fract_x
_atom_site_fract_y
_atom_site_fract_z
K1 K 0.0000 0.0000 0.0000
Bi1 Bi 0.0000 0.5000 0.0000
Pt1 Pt 0.5000 0.5000 0.5000
Cl1 Cl 0.0000 0.0000 0.5000

# 20
# GGA-PBE K2RbBiCl6, optimized geometry
# DFT total energy: -3.322 eV/atom
# ΔE to the lowest computed polymorph: 102 meV per atom
# ΔE_f (raw): -15.10 eV/f.u.
data_K2RbBiCl6
_cell_length_a 11.6196
_cell_length_b 11.6196
_cell_length_c 11.6196
_cell_angle_alpha 90.00
_cell_angle_beta 90.00
_cell_angle_gamma 90.00
_space_group_name_H-M_alt 'F m -3 m'
_space_group_IT_number 225
_space_group_name_Hall '-F 4 2 3'
loop_
_atom_site_label
_atom_site_type_symbol
_atom_site_fract_x
_atom_site_fract_y
_atom_site_fract_z
K1 K 0.2500 0.2500 0.2500
Rb1 Rb 0.0000 0.0000 0.0000
Bi1 Bi 0.0000 0.0000 0.5000
Cl1 Cl 0.0000 0.0000 0.2666

# 21
# GGA-PBE K2RbBiCl6, optimized geometry
# DFT total energy: -3.425 eV/atom
# ΔE to the lowest computed polymorph: 0 meV per atom
# ΔE_f (raw): -16.12 eV/f.u.
data_K2RbBiCl6
_cell_length_a 7.8520
_cell_length_b 7.8520
_cell_length_c 20.5286
_cell_angle_alpha 90.00
_cell_angle_beta 90.00
_cell_angle_gamma 120.00
_space_group_name_H-M_alt 'R 3'
_space_group_IT_number 146
_space_group_name_Hall 'R 3'
loop_
_atom_site_label
_atom_site_type_symbol
_atom_site_fract_x
_atom_site_fract_y
_atom_site_fract_z
K1 K 0.0000 0.0000 0.0000
K2 K 0.0000 0.0000 0.4881
Rb1 Rb 0.0000 0.0000 0.2059
Bi1 Bi 0.0000 0.0000 0.6941
Cl1 Cl 0.0159 0.3848 0.4307
Cl2 Cl 0.0640 0.6680 0.2768

# 22
# GGA-PBE KRbBiCl6, optimized geometry
# DFT total energy: -3.177 eV/atom
# ΔE_f (raw): -11.57 eV/f.u.
data_KRbBiCl6
_cell_length_a 7.6934
_cell_length_b 7.6934
_cell_length_c 6.8736
_cell_angle_alpha 90.00
_cell_angle_beta 90.00
_cell_angle_gamma 120.00
_space_group_name_H-M_alt 'P 3 1 2'
_space_group_IT_number 149
loop_
_space_group_symop_operation_xyz
'x,y,z'
'-y,x-y,z'
'-x+y,-x,z'
'-y,-x,-z'
'-x+y,y,-z'
'x,x-y,-z'
loop_
_atom_site_label
_atom_site_type_symbol
_atom_site_fract_x
_atom_site_fract_y
_atom_site_fract_z
K1 K 0.0000 0.0000 0.0000
Rb1 Rb 0.6667 0.3333 0.5000
Bi1 Bi 0.3333 0.6667 0.0000
Cl1 Cl 0.0559 0.3831 0.2215

# 23
# GGA-PBE KBiSCl2, optimized geometry
# DFT total energy: -3.536 eV/atom
# ΔE to the lowest computed polymorph: 0 meV per atom
# ΔE_f (raw): -4.88 eV/f.u.
data_KBiSCl2
_cell_length_a 5.5638
_cell_length_b 5.5638
_cell_length_c 5.3370
_cell_angle_alpha 90.00
_cell_angle_beta 90.00
_cell_angle_gamma 90.00
_space_group_name_H-M_alt 'P 4/m m m'
_space_group_IT_number 123
_space_group_name_Hall '-P 4 2'
loop_
_atom_site_label
_atom_site_type_symbol
_atom_site_fract_x
_atom_site_fract_y
_atom_site_fract_z
K1 K 0.0000 0.0000 0.0000
Bi1 Bi 0.5000 0.5000 0.5000
S1 S 0.5000 0.5000 0.0000
Cl1 Cl 0.0000 0.5000 0.5000